The following is a DFT calculation (PBE) of LiGa6Cu6 after structural relaxation.

Results
uncorrected energy = -3.42 eV per atom
space-group type = P6/mmm, No. 191

abc: 5.055 5.055 8.439
angles: 90.00 90.00 120.00
Fractional positions:
Li: 0.000 0.000 0.000
Ga: 0.000 0.000 0.344
Ga: 0.000 0.000 0.656
Ga: 0.333 0.667 0.000
Ga: 0.333 0.667 0.500
Ga: 0.667 0.333 0.000
Ga: 0.667 0.333 0.500
Cu: 0.000 0.500 0.246
Cu: 0.000 0.500 0.754
Cu: 0.500 0.000 0.246
Cu: 0.500 0.000 0.754
Cu: 0.500 0.500 0.246
Cu: 0.500 0.500 0.754